# ZrTlTeO6 | Alexandria via LeMat-Bulk | PBE | optimized geometry
# ρ in g cm⁻³: 6.290
# ΔE_f (raw) in eV/atom: -1.618
# Total magnetization in Bohr magnetons per cell: 0.000
data_ZrTlTeO6
_chemical_formula_sum 'Zr1 Tl1 Te1 O6'
_space_group_name_H-M_alt 'P 3 1 2'
_space_group_IT_number 149
_cell_length_a 5.5244
_cell_length_b 5.5244
_cell_length_c 5.1861
_cell_angle_alpha 90.00
_cell_angle_beta 90.00
_cell_angle_gamma 120.00
loop_
_space_group_symop_operation_xyz
'x,y,z'
'-y,x-y,z'
'-x+y,-x,z'
'-y,-x,-z'
'-x+y,y,-z'
'x,x-y,-z'
loop_
_atom_site_label
_atom_site_fract_x
_atom_site_fract_y
_atom_site_fract_z
Zr1 0.0000 0.0000 0.0000
Tl1 0.6667 0.3333 0.5000
Te1 0.3333 0.6667 0.0000
O1 0.0547 0.3558 0.2096